# 1
This record from Alexandria via LeMat-Bulk describes a relaxed BaScSn2 crystal. The functional is PBE.

formation energy from the elements: -0.34 eV/atom
ΔE to the lowest computed polymorph: 0.86 eV per formula unit

Cell: 7.8273 7.8273 7.8273 Å, 90.00 90.00 90.00°
Last column: nearest neighbours and their distance in Å.
Space group Fm-3m (No. 225)
One atom of each set of equivalent atoms:
Ba  0.0000  0.0000  0.0000 x4  8 Sn 3.39
Sc  0.0000  0.0000  0.5000 x4  8 Sn 3.39
Sn  0.2500  0.2500  0.2500 x8  4 Ba 3.39, 4 Sc 3.39

---

# 2
This record from Alexandria via LeMat-Bulk describes a relaxed Fe2RhW crystal. The functional is PBE.

formation energy from the elements: 0.63 eV/atom
ΔE to the lowest computed polymorph: 2.55 eV per formula unit

Cell: 6.7128 6.7128 5.0957 Å, 90.00 90.00 90.00°
Last column: nearest neighbours and their distance in Å.
Space group I-42d (No. 122)
One atom of each set of equivalent atoms:
Fe  0.2437  0.2500  0.1250 x8  2 W 2.43, 2 Rh 2.49, 2 Fe 2.55
Rh  0.0000  0.0000  0.5000 x4  4 Fe 2.49, 2 W 2.55
W  0.0000  0.0000  0.0000 x4  4 Fe 2.43, 2 Rh 2.55

---

# 3
This record from Alexandria via LeMat-Bulk describes a relaxed TaMo3 crystal. The functional is PBE.

formation energy from the elements: -0.07 eV/atom

Cell: 2.7788 4.4902 10.5363 Å, 90.00 95.22 90.00°
Last column: nearest neighbours and their distance in Å.
Space group P2/m (No. 10)
One atom of each set of equivalent atoms:
Ta  0.1339  0.0000  0.3709 x2  5 Mo 2.77-2.78, 3 Ta 2.78-2.88
Mo  0.0000  0.5000  0.0000 x1  8 Mo 2.73-2.78
Mo  0.2539  0.5000  0.7558 x2  6 Mo 2.73-2.84, 2 Ta 2.78
Mo  0.3807  0.0000  0.1216 x2  7 Mo 2.70-2.78, 1 Ta 2.77
Mo  0.5000  0.5000  0.5000 x1  4 Ta 2.77, 4 Mo 2.78-2.84

---

# 4
This record from Alexandria via LeMat-Bulk describes a relaxed MnAlAg2 crystal. The functional is PBE.

formation energy from the elements: 0.11 eV/atom

Cell: 2.8813 2.8813 27.0451 Å, 90.00 90.00 120.00°
Last column: nearest neighbours and their distance in Å.
Space group R3m (No. 160, hexagonal axes)
One atom of each set of equivalent atoms:
Mn  0.0000  0.0000  0.0000 x3  3 Al 2.61, 3 Ag 2.82, 6 Mn 2.88
Al  0.0000  0.0000  0.7409 x3  3 Mn 2.61, 3 Ag 2.81, 6 Al 2.88
Ag  0.0000  0.0000  0.2493 x3  3 Mn 2.82, 9 Ag 2.88-2.98
Ag  0.0000  0.0000  0.4912 x3  3 Al 2.81, 9 Ag 2.88-2.98

---

Which formula does entry 1 have?
BaScSn2